Entry 1:
The following is a PBE calculation of a relaxed CaAcInCl6 crystal, from Alexandria.

Cell: 7.4636 7.4636 13.4107 Å, 90.00 90.00 120.00°
Space group P-31c (No. 163)
Inequivalent atoms, fractional coordinates:
Ca: 0.3333 0.6667 0.2500 [2 per cell]
Ac: 0.3333 0.6667 0.7500 [2 per cell]
In: 0.0000 0.0000 0.0000 [2 per cell]
Cl: 0.0132 0.3714 0.1356 [12 per cell]

Size of the total moment ... 0.00 μB/atom
Electronic total energy ... -4.266 eV per atom
Formation energy without anion corrections ... -198 kJ per mole of atoms



Entry 2:
The following is a PBE calculation of a relaxed KCaAcCl6 crystal, from Alexandria.

Cell: 7.4549 7.4549 13.2888 Å, 90.00 90.00 120.00°
Space group P-31c (No. 163)
Inequivalent atoms, fractional coordinates:
K: 0.0000 0.0000 0.0000 [2 per cell]
Ca: 0.3333 0.6667 0.2500 [2 per cell]
Ac: 0.3333 0.6667 0.7500 [2 per cell]
Cl: 0.0133 0.3692 0.1351 [12 per cell]

Size of the total moment ... 0.00 μB/atom
Electronic total energy ... -4.353 eV per atom
Formation energy without anion corrections ... -224 kJ per mole of atoms



Entry 3:
The following is a PBE calculation of a relaxed Li2CaAcCl8 crystal, from Alexandria.

Cell: 7.5072 7.5072 7.9382 Å, 90.00 90.00 120.00°
Space group P-3 (No. 147)
Inequivalent atoms, fractional coordinates:
Li: 0.3333 0.6667 0.3244 [2 per cell]
Ca: 0.0000 0.0000 0.0000 [1 per cell]
Ac: 0.0000 0.0000 0.5000 [1 per cell]
Cl: 0.1543 0.3142 0.2357 [6 per cell]
Cl: 0.3333 0.6667 0.6156 [2 per cell]

Size of the total moment ... 0.09 μB/atom
Electronic total energy ... -3.891 eV per atom
Formation energy without anion corrections ... -177 kJ per mole of atoms



Entry 4:
The following is a PBE calculation of a relaxed CaAc2N2Cl2 crystal, from Alexandria.

Cell: 4.5391 4.5391 15.2625 Å, 90.00 90.00 90.00°
Space group I4/mmm (No. 139)
Inequivalent atoms, fractional coordinates:
Ca: 0.0000 0.0000 0.0000 [2 per cell]
Ac: 0.0000 0.0000 0.3972 [4 per cell]
N: 0.0000 0.5000 0.0000 [4 per cell]
Cl: 0.0000 0.0000 0.1914 [4 per cell]

Size of the total moment ... 0.00 μB/atom
Electronic total energy ... -5.873 eV per atom
Formation energy without anion corrections ... -145 kJ per mole of atoms



Entry 5:
The following is a PBE calculation of a relaxed RbCaAcCl6 crystal, from Alexandria.

Cell: 7.4927 7.4927 13.9268 Å, 90.00 90.00 120.00°
Space group P-31c (No. 163)
Inequivalent atoms, fractional coordinates:
Rb: 0.0000 0.0000 0.0000 [2 per cell]
Ca: 0.3333 0.6667 0.2500 [2 per cell]
Ac: 0.3333 0.6667 0.7500 [2 per cell]
Cl: 0.0132 0.3757 0.1392 [12 per cell]

Size of the total moment ... 0.00 μB/atom
Electronic total energy ... -4.346 eV per atom
Formation energy without anion corrections ... -225 kJ per mole of atoms



Entry 6:
The following is a PBE calculation of a relaxed CaAcSiCl crystal, from Alexandria.

Cell: 7.5386 7.5386 7.5386 Å, 90.00 90.00 90.00°
Space group F-43m (No. 216)
Inequivalent atoms, fractional coordinates:
Ca: 0.0000 0.0000 0.0000 [4 per cell]
Ac: 0.0000 0.0000 0.5000 [4 per cell]
Si: 0.2500 0.2500 0.7500 [4 per cell]
Cl: 0.2500 0.2500 0.2500 [4 per cell]

Size of the total moment ... 0.00 μB/atom
Electronic total energy ... -4.349 eV per atom
Formation energy without anion corrections ... -97 kJ per mole of atoms



Entry 7:
The following is a PBE calculation of a relaxed Ca4Ac19Co6 crystal, from Alexandria.

Cell: 13.2687 13.2687 13.2687 Å, 90.00 90.00 90.00°
Space group I23 (No. 197)
Inequivalent atoms, fractional coordinates:
Ca: 0.1630 0.1630 0.1630 [8 per cell]
Ac: 0.0000 0.0000 0.0000 [2 per cell]
Ac: 0.0000 0.0000 0.3580 [12 per cell]
Ac: 0.0447 0.2928 0.6824 [24 per cell]
Co: 0.0000 0.1712 0.5000 [12 per cell]

Size of the total moment ... 0.04 μB/atom
E_form ... 105 meV per atom
Electronic total energy ... -4.333 eV per atom



Entry 8:
The following is a PBE calculation of a relaxed CaAc5Co3 crystal, from Alexandria.

Cell: 6.8367 4.2754 20.4696 Å, 90.00 90.17 90.00°
Space group P2/m (No. 10)
Inequivalent atoms, fractional coordinates:
Ca: 0.2003 0.0000 0.2666 [2 per cell]
Ac: 0.1916 0.0000 0.5975 [2 per cell]
Ac: 0.2079 0.0000 0.9351 [2 per cell]
Ac: 0.2959 0.5000 0.1041 [2 per cell]
Ac: 0.3006 0.5000 0.7643 [2 per cell]
Ac: 0.3038 0.5000 0.4299 [2 per cell]
Co: 0.0000 0.5000 0.0000 [1 per cell]
Co: 0.0091 0.5000 0.6623 [2 per cell]
Co: 0.4920 0.0000 0.8347 [2 per cell]
Co: 0.5000 0.0000 0.5000 [1 per cell]

Size of the total moment ... 0.00 μB/atom
E_form ... -1 meV per atom
Electronic total energy ... -4.875 eV per atom



Entry 9:
The following is a PBE calculation of a relaxed Ca5Ac4Co2 crystal, from Alexandria.

Cell: 9.5754 3.8757 11.0454 Å, 90.00 98.78 90.00°
Space group P2/m (No. 10)
Inequivalent atoms, fractional coordinates:
Ca: 0.0000 0.0000 0.0000 [1 per cell]
Ca: 0.0252 0.0000 0.3353 [2 per cell]
Ca: 0.3414 0.0000 0.8712 [2 per cell]
Ac: 0.3244 0.5000 0.5545 [2 per cell]
Ac: 0.3291 0.5000 0.1993 [2 per cell]
Co: 0.4357 0.0000 0.3815 [2 per cell]

Size of the total moment ... 0.00 μB/atom
E_form ... 33 meV per atom
Electronic total energy ... -3.662 eV per atom



Entry 10:
The following is a PBE calculation of a relaxed CaAc3Co2 crystal, from Alexandria.

Cell: 17.7743 4.1835 13.2821 Å, 90.00 126.65 90.00°
Space group C2/m (No. 12)
Inequivalent atoms, fractional coordinates:
Ca: 0.0618 0.0000 0.1970 [4 per cell]
Ac: 0.0597 0.5000 0.6915 [4 per cell]
Ac: 0.1857 0.5000 0.0524 [4 per cell]
Ac: 0.1910 0.0000 0.5579 [4 per cell]
Co: 0.1247 0.5000 0.3817 [4 per cell]
Co: 0.1265 0.0000 0.8722 [4 per cell]

Size of the total moment ... 0.00 μB/atom
E_form ... 32 meV per atom
Electronic total energy ... -4.724 eV per atom



Entry 11:
The following is a PBE calculation of a relaxed Ca2Ac8Co3 crystal, from Alexandria.

Cell: 18.4975 8.0448 7.1242 Å, 90.00 100.23 90.00°
Space group C2/m (No. 12)
Inequivalent atoms, fractional coordinates:
Ca: 0.2426 0.0000 0.0327 [4 per cell]
Ac: 0.0745 0.2680 0.8532 [8 per cell]
Ac: 0.0882 0.0000 0.3807 [4 per cell]
Ac: 0.1221 0.5000 0.3945 [4 per cell]
Co: 0.0000 0.0000 0.0000 [2 per cell]
Co: 0.0000 0.3066 0.5000 [4 per cell]

Size of the total moment ... 0.00 μB/atom
E_form ... 75 meV per atom
Electronic total energy ... -4.401 eV per atom



Entry 12:
The following is a PBE calculation of a relaxed CaAcCo4 crystal, from Alexandria.

Cell: 7.4099 7.4099 7.4099 Å, 90.00 90.00 90.00°
Space group F-43m (No. 216)
Inequivalent atoms, fractional coordinates:
Ca: 0.0000 0.0000 0.0000 [4 per cell]
Ac: 0.2500 0.2500 0.2500 [4 per cell]
Co: 0.1254 0.1254 0.6254 [16 per cell]

Size of the total moment ... 0.78 μB/atom
E_form ... 141 meV per atom
Electronic total energy ... -5.614 eV per atom



Entry 13:
The following is a PBE calculation of a relaxed Ca2Ac3Co2 crystal, from Alexandria.

Cell: 4.1801 7.1384 8.9378 Å, 97.27 103.52 107.01°
Space group P-1 (No. 2)
Inequivalent atoms, fractional coordinates:
Ca: 0.2028 0.3031 0.1021 [2 per cell]
Ac: 0.0000 0.5000 0.5000 [1 per cell]
Ac: 0.3858 0.0786 0.6938 [2 per cell]
Co: 0.3035 0.2072 0.3975 [2 per cell]

Size of the total moment ... 0.00 μB/atom
E_form ... 5 meV per atom
Electronic total energy ... -4.358 eV per atom



Entry 14:
The following is a PBE calculation of a relaxed CaAc2Co crystal, from Alexandria.

Cell: 4.1687 4.1687 29.7592 Å, 90.00 90.00 120.00°
Space group R3m (No. 160, hexagonal axes)
Inequivalent atoms, fractional coordinates:
Ca: 0.0000 0.0000 0.0000 [3 per cell]
Ac: 0.0000 0.0000 0.5515 [3 per cell]
Ac: 0.0000 0.0000 0.7794 [3 per cell]
Co: 0.0000 0.0000 0.1648 [3 per cell]

Size of the total moment ... 0.00 μB/atom
E_form ... -8 meV per atom
Electronic total energy ... -4.340 eV per atom
Energy above the lowest structure with this stoichiometry ... 0.00 eV/f.u.



Entry 15:
The following is a PBE calculation of a relaxed Ca2Ac10Co3 crystal, from Alexandria.

Cell: 27.5184 8.2106 11.1303 Å, 90.00 112.03 90.00°
Space group C2/m (No. 12)
Inequivalent atoms, fractional coordinates:
Ca: 0.1252 0.0000 0.2447 [4 per cell]
Ca: 0.2335 0.0000 0.8089 [4 per cell]
Ac: 0.0000 0.2542 0.0000 [4 per cell]
Ac: 0.0152 0.0000 0.6879 [4 per cell]
Ac: 0.0149 0.5000 0.6918 [4 per cell]
Ac: 0.1117 0.2517 0.5498 [8 per cell]
Ac: 0.1295 0.5000 0.2458 [4 per cell]
Ac: 0.1401 0.2553 0.9487 [8 per cell]
Ac: 0.2358 0.5000 0.7997 [4 per cell]
Ac: 0.2500 0.2500 0.5000 [4 per cell]
Co: 0.0000 0.2473 0.5000 [4 per cell]
Co: 0.0712 0.5000 0.9761 [4 per cell]
Co: 0.1827 0.5000 0.5238 [4 per cell]

Size of the total moment ... 0.00 μB/atom
E_form ... -16 meV per atom
Electronic total energy ... -4.443 eV per atom



Entry 16:
The following is a PBE calculation of a relaxed Ca3AcCo crystal, from Alexandria.

Cell: 3.9600 24.5466 7.7336 Å, 90.00 90.00 90.00°
Space group Ama2 (No. 40)
Inequivalent atoms, fractional coordinates:
Ca: 0.2500 0.0652 0.0000 [4 per cell]
Ca: 0.2500 0.3062 0.7516 [4 per cell]
Ca: 0.2500 0.3269 0.2610 [4 per cell]
Ac: 0.2500 0.0696 0.4889 [4 per cell]
Co: 0.2500 0.4779 0.2364 [4 per cell]

Size of the total moment ... 0.19 μB/atom
E_form ... 92 meV per atom
Electronic total energy ... -3.352 eV per atom



Entry 17:
The following is a PBE calculation of a relaxed CaAc2Co crystal, from Alexandria.

Cell: 19.8263 4.0767 7.4926 Å, 90.00 96.80 90.00°
Space group C2/m (No. 12)
Inequivalent atoms, fractional coordinates:
Ca: 0.0034 0.0000 0.2449 [4 per cell]
Ac: 0.1665 0.5000 0.0461 [4 per cell]
Ac: 0.1754 0.0000 0.5653 [4 per cell]
Co: 0.2433 0.0000 0.2460 [4 per cell]

Size of the total moment ... 0.00 μB/atom
E_form ... 35 meV per atom
Electronic total energy ... -4.296 eV per atom
Energy above the lowest structure with this stoichiometry ... 0.18 eV/f.u.



Entry 18:
The following is a PBE calculation of a relaxed CaAc5Co crystal, from Alexandria.

Cell: 12.4699 7.7967 12.8097 Å, 90.00 114.31 90.00°
Space group C2/c (No. 15)
Inequivalent atoms, fractional coordinates:
Ca: 0.0000 0.0434 0.2500 [4 per cell]
Ac: 0.0000 0.4637 0.7500 [4 per cell]
Ac: 0.1361 0.1984 0.5598 [8 per cell]
Ac: 0.1951 0.3076 0.1137 [8 per cell]
Co: 0.0000 0.5000 0.0000 [4 per cell]

Size of the total moment ... 0.00 μB/atom
E_form ... 78 meV per atom
Electronic total energy ... -4.158 eV per atom



Entry 19:
The following is a PBE calculation of a relaxed CaAc7Co3 crystal, from Alexandria.

Cell: 8.2881 8.2881 6.7433 Å, 90.00 90.00 120.00°
Space group P3m1 (No. 156)
Inequivalent atoms, fractional coordinates:
Ca: 0.0000 0.0000 0.0000 [1 per cell]
Ac: 0.1636 0.3272 0.5278 [3 per cell]
Ac: 0.5024 0.0048 0.9995 [3 per cell]
Ac: 0.6667 0.3333 0.5360 [1 per cell]
Co: 0.3334 0.1667 0.7621 [3 per cell]

Size of the total moment ... 0.00 μB/atom
E_form ... 11 meV per atom
Electronic total energy ... -4.724 eV per atom



Entry 20:
The following is a PBE calculation of a relaxed CaAc2Co crystal, from Alexandria.

Cell: 4.0910 4.0910 33.2173 Å, 90.00 90.00 120.00°
Space group R-3m (No. 166, hexagonal axes)
Inequivalent atoms, fractional coordinates:
Ca: 0.0000 0.0000 0.0000 [3 per cell]
Ac: 0.0000 0.0000 0.1185 [6 per cell]
Co: 0.0000 0.0000 0.5000 [3 per cell]

Size of the total moment ... 0.00 μB/atom
E_form ... 95 meV per atom
Electronic total energy ... -4.236 eV per atom
Energy above the lowest structure with this stoichiometry ... 0.41 eV/f.u.